# 1
Compound: K2YCo
Source: Alexandria via LeMat-Bulk
Functional: PBE-GGA
Structure: relaxed

a = 11.099 Å, b = 11.099 Å, c = 3.967 Å
α = 100.14°, β = 100.14°, γ = 18.63°
Positions (direct):
K: 0.153 0.153 0.151
K: 0.847 0.847 0.849
Y: 0.000 0.000 0.500
Co: 0.500 0.500 0.000

- Crystal system: monoclinic
- Offset from the most stable computed form: 0.06 eV per formula unit

---

# 2
Compound: KY2Co
Source: Alexandria via LeMat-Bulk
Functional: PBE-GGA
Structure: relaxed

a = 11.211 Å, b = 11.211 Å, c = 11.211 Å
α = 18.42°, β = 18.42°, γ = 18.42°
Positions (direct):
K: 0.000 0.000 0.000
Y: 0.538 0.538 0.538
Y: 0.779 0.779 0.779
Co: 0.257 0.257 0.257

- Crystal system: trigonal
- E: -19.15 eV/cell

---

# 3
Compound: KYCo2
Source: Alexandria via LeMat-Bulk
Functional: PBE-GGA
Structure: relaxed

a = 9.840 Å, b = 9.840 Å, c = 9.840 Å
α = 151.35°, β = 151.35°, γ = 40.97°
Positions (direct):
K: 0.375 0.625 0.750
K: 0.625 0.375 0.250
Y: 0.125 0.875 0.250
Y: 0.875 0.125 0.750
Co: 0.000 0.000 0.000
Co: 0.000 0.000 0.500
Co: 0.000 0.500 0.000
Co: 0.500 0.000 0.500

- Crystal system: tetragonal
- Offset from the most stable computed form: 2.74 eV per formula unit

---

# 4
Compound: K2YCo
Source: Alexandria via LeMat-Bulk
Functional: PBE-GGA
Structure: relaxed

a = 3.413 Å, b = 3.413 Å, c = 12.371 Å
α = 90.00°, β = 90.00°, γ = 108.47°
Positions (direct):
K: 0.000 0.000 0.207
K: 0.000 0.000 0.793
Y: 0.500 0.500 0.500
Co: 0.500 0.500 0.000

- Crystal system: orthorhombic
- Offset from the most stable computed form: 2.49 eV per formula unit

---

no.,total magnetic moment (μB/cell)
1,0.0
2,1.3
3,4.2
4,1.9